Record 1
## PbI2Cl6 (PBE)

Data for an optimized crystal structure of PbI2Cl6.

Results
For the density of states at the Fermi level, the calculation gives 15.1 states/eV per cell. The density is 3195 kg/m³. As for the total magnetization: 0.0 μB per cell. For the total energy, the calculation gives -43.32 eV/cell.

Cell and atoms, written as POSCAR:
```
PbI2Cl6
1.0
6.752 -0.232 -0.225
1.690 10.135 0.079
1.690 0.407 10.127
Pb I Cl
2 4 12
Direct
0.250 0.082 0.918 Pb
0.750 0.918 0.082 Pb
0.398 0.529 0.738 I
0.102 0.262 0.471 I
0.602 0.471 0.262 I
0.898 0.738 0.529 I
0.411 0.700 0.555 Cl
0.089 0.445 0.300 Cl
0.589 0.300 0.445 Cl
0.911 0.555 0.700 Cl
0.864 0.927 0.363 Cl
0.636 0.637 0.073 Cl
0.136 0.073 0.637 Cl
0.364 0.363 0.927 Cl
0.133 0.837 0.950 Cl
0.367 0.050 0.163 Cl
0.867 0.163 0.050 Cl
0.633 0.950 0.837 Cl
```

=====

Record 2
## PbICl (PBE)

Data for an optimized crystal structure of PbICl.

Results
For the density of states at the Fermi level, the calculation gives 0.0 states/eV per cell. The density is 4947 kg/m³. As for the total magnetization: 0.0 μB per cell. For the total energy, the calculation gives -39.09 eV/cell.

Cell and atoms, written as POSCAR:
```
PbICl
1.0
7.835 0.000 0.000
0.000 4.528 0.000
-3.395 0.000 13.985
Pb I Cl
4 4 4
Direct
0.758 0.000 0.747 Pb
0.242 0.000 0.253 Pb
0.758 0.500 0.247 Pb
0.242 0.500 0.753 Pb
0.650 0.000 0.385 I
0.350 0.000 0.615 I
0.650 0.500 0.885 I
0.350 0.500 0.115 I
0.122 0.000 0.854 Cl
0.878 0.000 0.146 Cl
0.122 0.500 0.354 Cl
0.878 0.500 0.646 Cl
```

=====

Record 3
## PbICl2 (PBE)

Data for an optimized crystal structure of PbICl2.

Results
For the density of states at the Fermi level, the calculation gives 0.7 states/eV per cell. The density is 4316 kg/m³. As for the total magnetization: 2.0 μB per cell. For the total energy, the calculation gives -23.64 eV/cell.

Cell and atoms, written as POSCAR:
```
PbICl2
1.0
-3.676 0.657 -2.461
4.081 -1.433 -6.479
-5.189 -7.574 5.724
Pb I Cl
2 2 4
Direct
0.278 0.803 0.510 Pb
0.778 0.383 0.594 Pb
0.778 0.704 0.010 I
0.278 0.483 0.093 I
0.778 0.488 0.381 Cl
0.278 0.117 0.423 Cl
0.277 0.698 0.722 Cl
0.778 0.069 0.681 Cl
```

=====

Record 4
## Pb3ICl5 (PBE)

Data for an optimized crystal structure of Pb3ICl5.

Results
For the density of states at the Fermi level, the calculation gives 0.0 states/eV per cell. The density is 4699 kg/m³. As for the total magnetization: 0.0 μB per cell. For the total energy, the calculation gives -62.58 eV/cell.

Cell and atoms, written as POSCAR:
```
Pb3ICl5
1.0
7.883 0.256 2.583
1.879 7.661 2.583
0.161 0.131 11.007
Pb I Cl
6 2 10
Direct
0.674 0.674 0.835 Pb
0.641 0.641 0.322 Pb
0.000 0.000 0.000 Pb
0.000 0.000 0.500 Pb
0.326 0.326 0.165 Pb
0.359 0.359 0.678 Pb
0.122 0.122 0.688 I
0.878 0.878 0.312 I
0.962 0.351 0.318 Cl
0.308 0.692 0.000 Cl
0.771 0.771 0.022 Cl
0.411 0.411 0.396 Cl
0.589 0.589 0.604 Cl
0.229 0.229 0.978 Cl
0.351 0.962 0.318 Cl
0.692 0.308 0.000 Cl
0.038 0.649 0.682 Cl
0.649 0.038 0.682 Cl
```

=====

Record 5
## Pb2ICl2 (PBE)

Data for an optimized crystal structure of Pb2ICl2.

Results
For the density of states at the Fermi level, the calculation gives 2.6 states/eV per cell. The density is 6154 kg/m³. As for the total magnetization: 0.0 μB per cell. For the total energy, the calculation gives -15.91 eV/cell.

Cell and atoms, written as POSCAR:
```
Pb2ICl2
1.0
-2.877 1.238 -3.965
3.699 -1.432 -3.130
-2.010 -6.097 -3.665
Pb I Cl
2 1 2
Direct
0.367 0.367 0.266 Pb
0.633 0.633 0.734 Pb
0.000 0.000 0.000 I
0.750 0.250 0.500 Cl
0.250 0.750 0.500 Cl
```

=====

Record 6
## PbICl (PBE)

Data for an optimized crystal structure of PbICl.

Results
For the density of states at the Fermi level, the calculation gives 0.0 states/eV per cell. The density is 4779 kg/m³. As for the total magnetization: 0.0 μB per cell. For the total energy, the calculation gives -19.54 eV/cell.

Cell and atoms, written as POSCAR:
```
PbICl
1.0
-3.505 -2.807 0.485
2.980 -2.538 6.964
-4.832 6.130 0.569
Pb I Cl
2 2 2
Direct
0.938 0.930 0.027 Pb
0.438 0.921 0.506 Pb
0.937 0.187 0.789 I
0.438 0.665 0.744 I
0.437 0.127 0.272 Cl
0.938 0.725 0.261 Cl
```